# Cs2PmGe2Se6 (PBE, optimized geometry)
data_Cs2PmGe2Se6
_chemical_formula_sum 'Cs4 Pm2 Ge4 Se12'
_symmetry_space_group_name_H-M 'C 1 2/m 1'
_symmetry_Int_Tables_number 12
_symmetry_space_group_name_Hall '-C 2y'
_cell_length_a 13.3226
_cell_length_b 7.6936
_cell_length_c 9.2899
_cell_angle_alpha 90.00
_cell_angle_beta 118.03
_cell_angle_gamma 90.00
loop_
_atom_site_label
_atom_site_type_symbol
_atom_site_fract_x
_atom_site_fract_y
_atom_site_fract_z
_atom_site_occupancy
Cs1 Cs 0.2189 0.0000 0.1609 1
Pm1 Pm 0.0000 0.0000 0.5000 1
Ge1 Ge 0.1017 0.5000 0.3124 1
Se1 Se 0.0045 0.2417 0.7476 1
Se2 Se 0.2423 0.0000 0.7404 1
# formation energy (no corrections): -830 meV per atom

---

# AcBeP (PBE, optimized geometry)
data_AcBeP
_chemical_formula_sum 'Ac1 Be1 P1'
_symmetry_space_group_name_H-M 'P -6 m 2'
_symmetry_Int_Tables_number 187
_symmetry_space_group_name_Hall 'P -6 2'
_cell_length_a 3.8313
_cell_length_b 3.8313
_cell_length_c 4.7768
_cell_angle_alpha 90.00
_cell_angle_beta 90.00
_cell_angle_gamma 120.00
loop_
_atom_site_label
_atom_site_type_symbol
_atom_site_fract_x
_atom_site_fract_y
_atom_site_fract_z
_atom_site_occupancy
Ac1 Ac 0.0000 0.0000 0.0000 1
Be1 Be 0.6667 0.3333 0.5000 1
P1 P 0.3333 0.6667 0.5000 1
# formation energy from the elements: -0.8200 eV/atom

---

Number 1: electronic total energy -91.47 eV for the cell shown. Number 2: electronic total energy -15.70 eV for the cell shown.